Record 1
# Tc3Hg

A geometry-optimized Tc3Hg structure (GGA-PBE, the Alexandria database).

Output
* V: 130.2 Å³/cell
* energy above the most stable polymorph in this dataset: 0.254 eV/atom

Cell: 2.9802 4.6776 9.3422 Å, 90.00 90.00 90.00°
With the nearest neighbours (Å) after each atom.
Space group Immm (No. 71)
Symmetry-distinct sites (fractional):
Tc: 0.0000 0.0000 0.0000 [2 per cell]  4 Tc 2.57, 4 Hg 2.77
Tc: 0.0000 0.5000 0.2753 [4 per cell]  6 Tc 2.57-2.81
Hg: 0.0000 0.0000 0.5000 [2 per cell]  8 Tc 2.77-2.97, 2 Hg 2.98

Record 2
# ScNiRu2Br

A geometry-optimized ScNiRu2Br structure (GGA-PBE, the Alexandria database).

Output
* V: 91.0 Å³/cell
* formation energy from raw total energies: 0.80 eV/atom

Cell: 4.5975 4.5975 4.3041 Å, 90.00 90.00 90.00°
With the nearest neighbours (Å) after each atom.
Space group P4/mmm (No. 123)
Symmetry-distinct sites (fractional):
Sc: 0.0000 0.0000 0.0000 [1 per cell]  8 Ru 3.15, 4 Ni 3.25
Ni: 0.5000 0.5000 0.0000 [1 per cell]  2 Br 2.15
Ru: 0.0000 0.5000 0.5000 [2 per cell]  2 Br 2.30
Br: 0.5000 0.5000 0.5000 [1 per cell]  2 Ni 2.15, 4 Ru 2.30

Record 3
# La3CeSb2

A geometry-optimized La3CeSb2 structure (GGA-PBE, the Alexandria database).

Output
* V: 374.9 Å³/cell
* formation energy from raw total energies: -0.36 eV/atom

Cell: 3.4212 5.8712 18.6640 Å, 90.00 90.00 90.00°
With the nearest neighbours (Å) after each atom.
Space group Immm (No. 71)
Symmetry-distinct sites (fractional):
La: 0.0000 0.0000 0.0000 [2 per cell]  2 Ce 2.94
La: 0.0000 0.5000 0.1718 [4 per cell]  5 Sb 3.19-3.41, 1 Ce 3.21, 2 La 3.42
Ce: 0.0000 0.5000 0.0000 [2 per cell]  4 La 2.94-3.21
Sb: 0.0000 0.5000 0.3426 [4 per cell]  7 La 3.19-3.41, 2 Sb 3.42

Record 4
# BaSb5

A geometry-optimized BaSb5 structure (GGA-PBE, the Alexandria database).

Output
* V: 193.9 Å³/cell
* formation energy from raw total energies: -0.18 eV/atom
* energy above the most stable polymorph in this dataset: 0.126 eV/atom

Cell: 6.8586 6.8586 4.7595 Å, 90.00 90.00 120.00°
With the nearest neighbours (Å) after each atom.
Space group P-62m (No. 189)
Symmetry-distinct sites (fractional):
Ba: 0.0000 0.0000 0.0000 [1 per cell]  12 Sb 3.71-3.96
Sb: 0.0000 0.5854 0.5000 [3 per cell]  4 Sb 3.15
Sb: 0.3333 0.6667 0.0000 [2 per cell]  6 Sb 3.15

Record 5
# Nd2AlOs3

A geometry-optimized Nd2AlOs3 structure (GGA-PBE, the Alexandria database).

Output
* V: 228.5 Å³/cell
* energy: -8.04 eV per atom

Cell: 9.3407 5.4671 5.4200 Å, 90.00 124.36 90.00°
With the nearest neighbours (Å) after each atom.
Space group C2/m (No. 12)
Symmetry-distinct sites (fractional):
Nd: 0.1226 0.0000 0.3784 [4 per cell]  9 Os 3.17-3.20, 3 Al 3.22, 4 Nd 3.22-3.39
Al: 0.0000 0.5000 0.0000 [2 per cell]  6 Os 2.71
Os: 0.0000 0.5000 0.5000 [2 per cell]  2 Al 2.71, 4 Os 2.74
Os: 0.2500 0.2500 0.0000 [4 per cell]  2 Al 2.71, 4 Os 2.73-2.74

Record 6
# Y2SiRh

A geometry-optimized Y2SiRh structure (GGA-PBE, the Alexandria database).

Output
* V: 88.2 Å³/cell
* formation energy from raw total energies: -0.85 eV/atom

Cell: 4.1439 4.0240 5.6805 Å, 90.00 111.39 90.00°
With the nearest neighbours (Å) after each atom.
Space group Pm (No. 6)
Symmetry-distinct sites (fractional):
Y: 0.0000 0.0000 0.0000 [1 per cell]  4 Si 2.99, 3 Rh 3.01-3.09
Y: 0.2812 0.5000 0.5640 [1 per cell]  4 Rh 2.97-2.98, 3 Si 3.03-3.07
Si: 0.5731 0.5000 0.1451 [1 per cell]  2 Rh 2.52
Rh: 0.7136 0.0000 0.4314 [1 per cell]  2 Si 2.52